[1]
First-principles (SCAN) data for a PBEsol-optimized structure of Li2Hg2I, as listed in the Alexandria database.

- final energy (eV/atom) = -36.029
- calculated density (Mg/m³) = 7.609
- M_tot (μB per cell) = 0.0

Cell and atoms, written as CIF:
```
data_Li2Hg2I
_space_group_name_H-M_alt 'P 4/m b m'
_space_group_IT_number 127
_space_group_name_Hall '-P 4 2ab'
_cell_length_a 7.6102
_cell_length_b 7.6102
_cell_length_c 4.0845
_cell_angle_alpha 90.00
_cell_angle_beta 90.00
_cell_angle_gamma 90.00
loop_
_atom_site_label
_atom_site_fract_x
_atom_site_fract_y
_atom_site_fract_z
Li1 0.1621 0.3379 0.0000
Hg1 0.1404 0.6404 0.5000
I1 0.0000 0.0000 0.0000
```


[2]
First-principles (SCAN) data for a PBEsol-optimized structure of MnHg3I, as listed in the Alexandria database.

- final energy (eV/atom) = -51.870
- calculated density (Mg/m³) = 9.038
- M_tot (μB per cell) = 4.6

Cell and atoms, written as CIF:
```
data_MnHg3I
_space_group_name_H-M_alt 'P m -3 m'
_space_group_IT_number 221
_space_group_name_Hall '-P 4 2 3'
_cell_length_a 5.2411
_cell_length_b 5.2411
_cell_length_c 5.2411
_cell_angle_alpha 90.00
_cell_angle_beta 90.00
_cell_angle_gamma 90.00
loop_
_atom_site_label
_atom_site_fract_x
_atom_site_fract_y
_atom_site_fract_z
Mn1 0.0000 0.0000 0.0000
Hg1 0.0000 0.0000 0.5000
I1 0.5000 0.5000 0.5000
```


[3]
First-principles (SCAN) data for a PBEsol-optimized structure of MnNbHg2I, as listed in the Alexandria database.

- final energy (eV/atom) = -44.376
- calculated density (Mg/m³) = 9.454
- M_tot (μB per cell) = 0.8

Cell and atoms, written as CIF:
```
data_MnNbHg2I
_space_group_name_H-M_alt 'P 4/m m m'
_space_group_IT_number 123
_space_group_name_Hall '-P 4 2'
_cell_length_a 5.1154
_cell_length_b 5.1154
_cell_length_c 4.5373
_cell_angle_alpha 90.00
_cell_angle_beta 90.00
_cell_angle_gamma 90.00
loop_
_atom_site_label
_atom_site_fract_x
_atom_site_fract_y
_atom_site_fract_z
Mn1 0.0000 0.0000 0.0000
Nb1 0.0000 0.0000 0.5000
Hg1 0.0000 0.5000 0.0000
I1 0.5000 0.5000 0.5000
```


[4]
First-principles (SCAN) data for a PBEsol-optimized structure of MnHgSbI2, as listed in the Alexandria database.

- final energy (eV/atom) = -38.878
- calculated density (Mg/m³) = 5.697
- M_tot (μB per cell) = 4.1

Cell and atoms, written as CIF:
```
data_MnHgSbI2
_space_group_name_H-M_alt 'P 4/m m m'
_space_group_IT_number 123
_space_group_name_Hall '-P 4 2'
_cell_length_a 5.7355
_cell_length_b 5.7355
_cell_length_c 5.5915
_cell_angle_alpha 90.00
_cell_angle_beta 90.00
_cell_angle_gamma 90.00
loop_
_atom_site_label
_atom_site_fract_x
_atom_site_fract_y
_atom_site_fract_z
Mn1 0.0000 0.0000 0.0000
Hg1 0.5000 0.5000 0.5000
Sb1 0.5000 0.5000 0.0000
I1 0.0000 0.5000 0.5000
```


[5]
First-principles (SCAN) data for a PBEsol-optimized structure of MnHgW2I, as listed in the Alexandria database.

- final energy (eV/atom) = -50.174
- calculated density (Mg/m³) = 9.891
- M_tot (μB per cell) = 1.8

Cell and atoms, written as CIF:
```
data_MnHgW2I
_space_group_name_H-M_alt 'P 4/m m m'
_space_group_IT_number 123
_space_group_name_Hall '-P 4 2'
_cell_length_a 5.0893
_cell_length_b 5.0893
_cell_length_c 4.8622
_cell_angle_alpha 90.00
_cell_angle_beta 90.00
_cell_angle_gamma 90.00
loop_
_atom_site_label
_atom_site_fract_x
_atom_site_fract_y
_atom_site_fract_z
Mn1 0.0000 0.0000 0.0000
Hg1 0.0000 0.0000 0.5000
W1 0.0000 0.5000 0.5000
I1 0.5000 0.5000 0.0000
```


[6]
First-principles (SCAN) data for a PBEsol-optimized structure of HgMoIO2, as listed in the Alexandria database.

- final energy (eV/atom) = -31.156
- calculated density (Mg/m³) = 8.431
- M_tot (μB per cell) = 0.0

Cell and atoms, written as CIF:
```
data_HgMoIO2
_space_group_name_H-M_alt 'P 4/m m m'
_space_group_IT_number 123
_space_group_name_Hall '-P 4 2'
_cell_length_a 3.9582
_cell_length_b 3.9582
_cell_length_c 5.7252
_cell_angle_alpha 90.00
_cell_angle_beta 90.00
_cell_angle_gamma 90.00
loop_
_atom_site_label
_atom_site_fract_x
_atom_site_fract_y
_atom_site_fract_z
Hg1 0.0000 0.0000 0.0000
Mo1 0.5000 0.5000 0.5000
I1 0.5000 0.5000 0.0000
O1 0.0000 0.5000 0.5000
```